Material: TaAs2PtSe
Method: DFT, GGA-PBE
State: optimized geometry

Structure (POSCAR):
```
TaAs2PtSe
1.0
4.980 0.000 0.000
0.000 4.980 0.000
0.000 0.000 4.856
Ta As Pt Se
1 2 1 1
Direct
0.000 0.000 0.000
0.000 0.500 0.000
0.500 0.000 0.000
0.500 0.500 0.500
0.000 0.000 0.500
```

Summary:
Excess energy over the best structure of this formula in the dataset = 0.00 eV per formula unit
Magnetization = 0.0 μB per cell
Formation energy from raw total energies = 3.3 eV per formula unit
V = 120.4 Å³/f.u.
Raw total energy = -27.37 eV per cell